Arrangement a

3
Lattice="0.0000 3.7773 3.7773 3.7773 0.0000 3.7773 3.7773 3.7773 0.0000" Properties=species:S:1:pos:R:3 comment="SCAN SrYTl, single point on PBEsol structure" volume_a3_per_atom=35.9 sg="No. 216" pbc="T T T"
Sr 0.0000 0.0000 0.0000
Y 3.7773 3.7773 3.7773
Tl 5.6659 5.6659 5.6659

=====

Arrangement b

12
Lattice="8.3262 0.0000 0.0000 0.0000 5.1637 0.0000 0.0000 0.0000 9.0603" Properties=species:S:1:pos:R:3 comment="SCAN SrYTl, single point on PBEsol structure" volume_a3_per_atom=32.5 sg="No. 62" pbc="T T T"
Sr 0.1372 1.2909 1.6413
Sr 4.0258 3.8728 6.1714
Sr 4.3003 1.2909 2.8889
Sr 8.1889 3.8728 7.4190
Y 1.2575 1.2909 5.2474
Y 2.9056 3.8728 0.7173
Y 5.4206 1.2909 8.3430
Y 7.0687 3.8728 3.8128
Tl 1.8225 3.8728 3.6134
Tl 2.3406 1.2909 8.1435
Tl 5.9856 3.8728 0.9168
Tl 6.5037 1.2909 5.4469

=====

Most favorable structure: arrangement b. The second most favorable one is 0.244 eV/atom above it.

=====

Arrangement a

4
Lattice="3.6555 0.0000 0.0000 0.0000 4.7774 0.0000 0.0000 0.0000 7.1220" Properties=species:S:1:pos:R:3 comment="SCAN SrY2Tl, single point on PBEsol structure" volume_a3_per_atom=31.1 sg="No. 25" pbc="T T T"
Sr 0.0000 0.0000 0.0000
Y 0.0000 0.0000 3.3621
Y 1.8277 2.3887 4.9538
Tl 1.8277 2.3887 1.8044

=====

Arrangement b

4
Lattice="-1.8880 2.8227 6.0225 1.8880 -2.8227 6.0225 1.8880 2.8227 -6.0225" Properties=species:S:1:pos:R:3 comment="SCAN SrY2Tl, single point on PBEsol structure" volume_a3_per_atom=32.1 sg="No. 71" pbc="T T T"
Sr 0.0000 0.0000 0.0000
Y 1.8880 0.0000 3.4673
Y 0.0000 2.8227 2.5552
Tl 0.0000 0.0000 6.0225

=====

Most favorable structure: arrangement b. The second most favorable one is 0.097 eV/atom above it.